<w>
Density functional theory data (PBE) for a relaxed ErPu2Ni crystal.

a b c (Å): 10.239 10.239 10.239
angles (deg): 19.19 19.19 19.19
Positions (direct):
Er  0.000  0.000  0.000
Pu  0.104  0.104  0.104
Pu  0.896  0.896  0.896
Ni  0.500  0.500  0.500

Properties
space group: R-3m, No. 166
Fermi-level density of states: 17.60 states/eV per cell
crystal system: trigonal

---

<x>
Density functional theory data (PBE) for a relaxed ErPu2Ni crystal.

a b c (Å): 3.455 3.455 7.989
angles (deg): 90.00 90.00 90.00
Positions (direct):
Er  0.000  0.000  0.000
Pu  0.500  0.500  0.307
Pu  0.500  0.500  0.693
Ni  0.000  0.000  0.500

Properties
space group: P4/mmm, No. 123
Fermi-level density of states: 13.61 states/eV per cell
crystal system: tetragonal

---

The structure with the most favorable energy is <x>; the runner-up is 0.243 eV/atom above it.

---

<w>
Density functional theory data (PBE) for a relaxed Er4NiRh crystal.

a b c (Å): 7.863 7.863 6.201
angles (deg): 108.78 108.78 112.22
Positions (direct):
Er  0.047  0.685  0.893
Er  0.236  0.358  0.732
Er  0.315  0.953  0.607
Er  0.358  0.236  0.232
Er  0.642  0.764  0.768
Er  0.685  0.047  0.393
Er  0.764  0.642  0.268
Er  0.953  0.315  0.107
Ni  0.003  0.997  0.250
Ni  0.997  0.003  0.750
Rh  0.362  0.638  0.250
Rh  0.638  0.362  0.750

Properties
space group: C2/c, No. 15
Fermi-level density of states: 12.33 states/eV per cell
crystal system: monoclinic

---

<x>
Density functional theory data (PBE) for a relaxed Er4NiRh crystal.

a b c (Å): 7.577 7.577 7.577
angles (deg): 105.96 105.96 116.75
Positions (direct):
Er  0.194  0.494  0.700
Er  0.244  0.044  0.800
Er  0.244  0.444  0.200
Er  0.297  0.000  0.297
Er  0.703  0.000  0.703
Er  0.750  0.547  0.797
Er  0.750  0.953  0.203
Er  0.794  0.494  0.300
Ni  0.745  0.245  0.500
Ni  0.995  0.995  0.000
Rh  0.248  0.748  0.500
Rh  0.498  0.498  0.000

Properties
space group: I4_1md, No. 109
Fermi-level density of states: 7.37 states/eV per cell
crystal system: tetragonal

---

The structure with the most favorable energy is <w>; the runner-up is 0.089 eV/atom above it.

---

<w>
Density functional theory data (PBE) for a relaxed ErNi4Rh crystal.

a b c (Å): 7.189 3.808 6.403
angles (deg): 90.00 90.00 90.00
Positions (direct):
Er  0.250  0.000  0.149
Er  0.750  0.000  0.851
Ni  0.000  0.000  0.500
Ni  0.033  0.500  0.784
Ni  0.250  0.500  0.472
Ni  0.467  0.500  0.784
Ni  0.500  0.000  0.500
Ni  0.533  0.500  0.216
Ni  0.750  0.500  0.528
Ni  0.967  0.500  0.216
Rh  0.250  0.000  0.746
Rh  0.750  0.000  0.254

Properties
space group: Pmma, No. 51
Fermi-level density of states: 18.29 states/eV per cell
crystal system: orthorhombic

---

<x>
Density functional theory data (PBE) for a relaxed ErNi4Rh crystal.

a b c (Å): 4.860 4.860 4.860
angles (deg): 60.00 60.00 60.00
Positions (direct):
Er  0.000  0.000  0.000
Ni  0.128  0.624  0.624
Ni  0.624  0.128  0.624
Ni  0.624  0.624  0.128
Ni  0.624  0.624  0.624
Rh  0.250  0.250  0.250

Properties
space group: F-43m, No. 216
Fermi-level density of states: 10.33 states/eV per cell
crystal system: cubic

---

The structure with the most favorable energy is <x>; the runner-up is 0.212 eV/atom above it.

---

<w>
Density functional theory data (PBE) for a relaxed YErNiRh crystal.

a b c (Å): 4.810 4.810 4.810
angles (deg): 60.00 60.00 60.00
Positions (direct):
Y  0.000  0.000  0.000
Er  0.500  0.500  0.500
Ni  0.750  0.750  0.750
Rh  0.250  0.250  0.250

Properties
space group: F-43m, No. 216
Fermi-level density of states: 1.79 states/eV per cell
crystal system: cubic

---

<x>
Density functional theory data (PBE) for a relaxed YErNiRh crystal.

a b c (Å): 4.135 5.590 5.590
angles (deg): 39.60 90.00 90.00
Positions (direct):
Y  0.000  0.000  0.000
Er  0.500  0.717  0.717
Ni  0.500  0.435  0.435
Rh  0.000  0.278  0.278

Properties
space group: Amm2, No. 38
Fermi-level density of states: 2.40 states/eV per cell
crystal system: orthorhombic

---

The structure with the most favorable energy is <x>; the runner-up is 0.019 eV/atom above it.

---

<w>
Density functional theory data (PBE) for a relaxed Er8NiRu2 crystal.

a b c (Å): 8.948 8.948 6.781
angles (deg): 106.88 106.88 31.08
Positions (direct):
Er  0.031  0.031  0.290
Er  0.205  0.205  0.814
Er  0.333  0.333  0.536
Er  0.404  0.404  0.045
Er  0.596  0.596  0.955
Er  0.667  0.667  0.464
Er  0.795  0.795  0.186
Er  0.969  0.969  0.710
Ni  0.500  0.500  0.500
Ru  0.185  0.185  0.203
Ru  0.815  0.815  0.797

Properties
space group: C2/m, No. 12
Fermi-level density of states: 11.45 states/eV per cell
crystal system: monoclinic

---

<x>
Density functional theory data (PBE) for a relaxed Er8NiRu2 crystal.

a b c (Å): 7.453 7.453 5.854
angles (deg): 100.77 100.77 112.50
Positions (direct):
Er  0.000  0.000  0.000
Er  0.027  0.288  0.586
Er  0.151  0.571  0.194
Er  0.288  0.027  0.586
Er  0.446  0.708  0.788
Er  0.571  0.151  0.194
Er  0.708  0.446  0.788
Er  0.722  0.722  0.381
Ni  0.357  0.357  0.361
Ru  0.057  0.678  0.687
Ru  0.678  0.057  0.687

Properties
space group: Cm, No. 8
Fermi-level density of states: 9.84 states/eV per cell
crystal system: monoclinic

---

The structure with the most favorable energy is <w>; the runner-up is 0.045 eV/atom above it.

---

<w>
Density functional theory data (PBE) for a relaxed ErNiRu crystal.

a b c (Å): 5.225 5.225 5.225
angles (deg): 121.42 121.37 87.60
Positions (direct):
Er  0.373  0.123  0.250
Er  0.627  0.877  0.750
Ni  0.000  0.500  0.500
Ni  0.500  0.500  0.000
Ru  0.000  0.000  0.500
Ru  0.000  0.500  0.000

Properties
space group: Imma, No. 74
Fermi-level density of states: 5.11 states/eV per cell
crystal system: orthorhombic

---

<x>
Density functional theory data (PBE) for a relaxed ErNiRu crystal.

a b c (Å): 4.590 4.590 5.403
angles (deg): 90.00 90.00 120.39
Positions (direct):
Er  0.169  0.831  0.750
Er  0.831  0.169  0.250
Ni  0.162  0.838  0.250
Ni  0.838  0.162  0.750
Ru  0.500  0.500  0.000
Ru  0.500  0.500  0.500

Properties
space group: Cmcm, No. 63
Fermi-level density of states: 8.18 states/eV per cell
crystal system: orthorhombic

---

The structure with the most favorable energy is <w>; the runner-up is 0.234 eV/atom above it.

---

<w>
Density functional theory data (PBE) for a relaxed Er8Ni2Ru crystal.

a b c (Å): 7.446 7.446 5.750
angles (deg): 99.91 99.91 114.44
Positions (direct):
Er  0.000  0.000  0.000
Er  0.024  0.279  0.572
Er  0.142  0.572  0.173
Er  0.279  0.024  0.572
Er  0.439  0.693  0.762
Er  0.572  0.142  0.173
Er  0.693  0.439  0.762
Er  0.720  0.720  0.352
Ni  0.055  0.665  0.675
Ni  0.665  0.055  0.675
Ru  0.360  0.360  0.287

Properties
space group: Cm, No. 8
Fermi-level density of states: 11.10 states/eV per cell
crystal system: monoclinic

---

<x>
Density functional theory data (PBE) for a relaxed Er8Ni2Ru crystal.

a b c (Å): 8.784 8.784 6.594
angles (deg): 106.14 106.14 32.83
Positions (direct):
Er  0.035  0.035  0.294
Er  0.200  0.200  0.821
Er  0.330  0.330  0.525
Er  0.408  0.408  0.054
Er  0.592  0.592  0.946
Er  0.670  0.670  0.475
Er  0.800  0.800  0.179
Er  0.965  0.965  0.706
Ni  0.187  0.187  0.211
Ni  0.813  0.813  0.789
Ru  0.500  0.500  0.500

Properties
space group: C2/m, No. 12
Fermi-level density of states: 11.56 states/eV per cell
crystal system: monoclinic

---

The structure with the most favorable energy is <x>; the runner-up is 0.083 eV/atom above it.

---

<w>
Density functional theory data (PBE) for a relaxed ErScNiRu crystal.

a b c (Å): 4.635 4.635 4.635
angles (deg): 60.00 60.00 60.00
Positions (direct):
Er  0.000  0.000  0.000
Sc  0.500  0.500  0.500
Ni  0.250  0.250  0.250
Ru  0.750  0.750  0.750

Properties
space group: F-43m, No. 216
Fermi-level density of states: 2.17 states/eV per cell
crystal system: cubic

---

<x>
Density functional theory data (PBE) for a relaxed ErScNiRu crystal.

a b c (Å): 3.297 3.297 6.485
angles (deg): 90.00 90.00 90.00
Positions (direct):
Er  0.000  0.000  0.000
Sc  0.000  0.000  0.496
Ni  0.500  0.500  0.735
Ru  0.500  0.500  0.265

Properties
space group: P4mm, No. 99
Fermi-level density of states: 1.39 states/eV per cell
crystal system: tetragonal

---

The structure with the most favorable energy is <x>; the runner-up is 0.025 eV/atom above it.

---

<w>
Density functional theory data (PBE) for a relaxed Er2NiS crystal.

a b c (Å): 11.071 11.071 3.926
angles (deg): 90.00 90.00 160.34
Positions (direct):
Er  0.066  0.934  0.750
Er  0.317  0.683  0.750
Er  0.683  0.317  0.250
Er  0.934  0.066  0.250
Ni  0.464  0.536  0.750
Ni  0.536  0.464  0.250
S  0.193  0.807  0.750
S  0.807  0.193  0.250

Properties
space group: Cmcm, No. 63
Fermi-level density of states: 5.66 states/eV per cell
crystal system: orthorhombic

---

<x>
Density functional theory data (PBE) for a relaxed Er2NiS crystal.

a b c (Å): 8.709 8.709 8.709
angles (deg): 23.47 23.47 23.47
Positions (direct):
Er  0.099  0.099  0.099
Er  0.901  0.901  0.901
Ni  0.000  0.000  0.000
S  0.500  0.500  0.500

Properties
space group: R-3m, No. 166
Fermi-level density of states: 3.15 states/eV per cell
crystal system: trigonal

---

The structure with the most favorable energy is <w>; the runner-up is 0.793 eV/atom above it.

---

<w>
Density functional theory data (PBE) for a relaxed Er2Sc3Ni2 crystal.

a b c (Å): 5.725 5.725 7.110
angles (deg): 112.74 112.74 45.89
Positions (direct):
Er  0.140  0.140  0.304
Er  0.860  0.860  0.696
Sc  0.359  0.359  0.040
Sc  0.500  0.500  0.500
Sc  0.641  0.641  0.960
Ni  0.133  0.133  0.705
Ni  0.867  0.867  0.295

Properties
space group: C2/m, No. 12
Fermi-level density of states: 8.38 states/eV per cell
crystal system: monoclinic

---

<x>
Density functional theory data (PBE) for a relaxed Er2Sc3Ni2 crystal.

a b c (Å): 5.998 5.998 8.525
angles (deg): 113.97 113.97 33.14
Positions (direct):
Er  0.161  0.161  0.304
Er  0.839  0.839  0.696
Sc  0.383  0.383  0.068
Sc  0.500  0.500  0.500
Sc  0.617  0.617  0.932
Ni  0.167  0.167  0.736
Ni  0.833  0.833  0.264

Properties
space group: C2/m, No. 12
Fermi-level density of states: 10.48 states/eV per cell
crystal system: monoclinic

---

The structure with the most favorable energy is <x>; the runner-up is 0.047 eV/atom above it.

---

<w>
Density functional theory data (PBE) for a relaxed ErScTlNi crystal.

a b c (Å): 3.386 3.386 7.380
angles (deg): 90.00 90.00 90.00
Positions (direct):
Er  0.000  0.000  0.000
Sc  0.000  0.000  0.579
Tl  0.500  0.500  0.307
Ni  0.500  0.500  0.765

Properties
space group: P4mm, No. 99
Fermi-level density of states: 4.37 states/eV per cell
crystal system: tetragonal

---

<x>
Density functional theory data (PBE) for a relaxed ErScTlNi crystal.

a b c (Å): 4.950 4.950 4.950
angles (deg): 60.00 60.00 60.00
Positions (direct):
Er  0.000  0.000  0.000
Sc  0.500  0.500  0.500
Tl  0.250  0.250  0.250
Ni  0.750  0.750  0.750

Properties
space group: F-43m, No. 216
Fermi-level density of states: 3.91 states/eV per cell
crystal system: cubic

---

The structure with the most favorable energy is <w>; the runner-up is 0.120 eV/atom above it.

---

<w>
Density functional theory data (PBE) for a relaxed ErScZnNi crystal.

a b c (Å): 4.745 4.745 4.745
angles (deg): 60.00 60.00 60.00
Positions (direct):
Er  0.000  0.000  0.000
Sc  0.500  0.500  0.500
Zn  0.750  0.750  0.750
Ni  0.250  0.250  0.250

Properties
space group: F-43m, No. 216
Fermi-level density of states: 3.00 states/eV per cell
crystal system: cubic

---

<x>
Density functional theory data (PBE) for a relaxed ErScZnNi crystal.

a b c (Å): 3.339 3.339 6.756
angles (deg): 90.00 90.00 90.00
Positions (direct):
Er  0.000  0.000  0.000
Sc  0.000  0.000  0.465
Zn  0.500  0.500  0.710
Ni  0.500  0.500  0.255

Properties
space group: P4mm, No. 99
Fermi-level density of states: 3.71 states/eV per cell
crystal system: tetragonal

---

The structure with the most favorable energy is <x>; the runner-up is 0.037 eV/atom above it.